1.
Compound: Pr2Nd2Y4Tm
Source: Alexandria via LeMat-Bulk
Functional: PBE
Structure: optimized geometry

```
data_Pr2Nd2Y4Tm
_chemical_formula_sum 'Pr4 Nd4 Y8 Tm2'
_cell_length_a 18.949
_cell_length_b 3.652
_cell_length_c 9.720
_cell_angle_alpha 90.00
_cell_angle_beta 115.75
_cell_angle_gamma 90.00
_symmetry_space_group_name_H-M 'C 1 2/m 1'
_symmetry_Int_Tables_number 12
_symmetry_space_group_name_Hall '-C 2y'
loop_
_atom_site_label
_atom_site_type_symbol
_atom_site_fract_x
_atom_site_fract_y
_atom_site_fract_z
Pr1 Pr 0.148 0.000 0.164
Nd1 Nd 0.165 0.500 0.501
Y1 Y 0.019 0.500 0.830
Y2 Y 0.184 0.000 0.834
Tm1 Tm 0.000 0.000 0.500
```

Values from the calculation:
- Size of the total moment: 0.0 μB/f.u.
- VASP energy: -5.49 eV/atom
- Fermi-level density of states: 25.9 states/eV/cell

=====

2.
Compound: Pr2NdY3Tm6
Source: Alexandria via LeMat-Bulk
Functional: PBE
Structure: optimized geometry

```
data_Pr2NdY3Tm6
_chemical_formula_sum 'Pr4 Nd2 Y6 Tm12'
_cell_length_a 6.188
_cell_length_b 10.706
_cell_length_c 11.747
_cell_angle_alpha 90.00
_cell_angle_beta 100.08
_cell_angle_gamma 90.00
_symmetry_space_group_name_H-M 'C 1 2/m 1'
_symmetry_Int_Tables_number 12
_symmetry_space_group_name_Hall '-C 2y'
loop_
_atom_site_label
_atom_site_type_symbol
_atom_site_fract_x
_atom_site_fract_y
_atom_site_fract_z
Pr1 Pr 0.000 0.167 0.000
Nd1 Nd 0.000 0.500 0.000
Y1 Y 0.000 0.000 0.500
Y2 Y 0.000 0.333 0.500
Tm1 Tm 0.248 0.167 0.747
Tm2 Tm 0.248 0.500 0.747
```

Values from the calculation:
- Size of the total moment: 0.0 μB/f.u.
- VASP energy: -5.02 eV/atom
- Fermi-level density of states: 33.6 states/eV/cell

=====

3.
Compound: PrNdTmZr
Source: Alexandria via LeMat-Bulk
Functional: PBE
Structure: optimized geometry

```
data_PrNdTmZr
_chemical_formula_sum 'Pr4 Nd4 Tm4 Zr4'
_cell_length_a 7.887
_cell_length_b 7.887
_cell_length_c 7.887
_cell_angle_alpha 90.00
_cell_angle_beta 90.00
_cell_angle_gamma 90.00
_symmetry_space_group_name_H-M 'F -4 3 m'
_symmetry_Int_Tables_number 216
_symmetry_space_group_name_Hall 'F -4 2 3'
loop_
_atom_site_label
_atom_site_type_symbol
_atom_site_fract_x
_atom_site_fract_y
_atom_site_fract_z
Pr1 Pr 0.000 0.000 0.000
Nd1 Nd 0.250 0.250 0.750
Tm1 Tm 0.250 0.250 0.250
Zr1 Zr 0.000 0.000 0.500
```

Values from the calculation:
- Size of the total moment: 1.7 μB/f.u.
- VASP energy: -5.39 eV/atom
- Fermi-level density of states: 34.7 states/eV/cell

=====

4.
Compound: PrNd2V
Source: Alexandria via LeMat-Bulk
Functional: PBE
Structure: optimized geometry

```
data_PrNd2V
_chemical_formula_sum 'Pr3 Nd6 V3'
_cell_length_a 3.4720
_cell_length_b 3.4720
_cell_length_c 35.5604
_cell_angle_alpha 90.00
_cell_angle_beta 90.00
_cell_angle_gamma 120.00
_symmetry_space_group_name_H-M 'R -3 m'
_symmetry_Int_Tables_number 166
_symmetry_space_group_name_Hall '-R 3 2"'
loop_
_atom_site_label
_atom_site_type_symbol
_atom_site_fract_x
_atom_site_fract_y
_atom_site_fract_z
Pr1 Pr 0.0000 0.0000 0.0000
Nd1 Nd 0.0000 0.0000 0.4203
V1 V 0.0000 0.0000 0.5000
```

Values from the calculation:
- Size of the total moment: 3.2 μB/f.u.
- VASP energy: -5.22 eV/atom
- Fermi-level density of states: 16.1 states/eV/cell

=====

5.
Compound: Pr5Nd6Y
Source: Alexandria via LeMat-Bulk
Functional: PBE
Structure: optimized geometry

```
data_Pr5Nd6Y
_chemical_formula_sum 'Pr10 Nd12 Y2'
_cell_length_a 6.391
_cell_length_b 11.067
_cell_length_c 12.246
_cell_angle_alpha 90.00
_cell_angle_beta 100.09
_cell_angle_gamma 90.00
_symmetry_space_group_name_H-M 'C 1 2/m 1'
_symmetry_Int_Tables_number 12
_symmetry_space_group_name_Hall '-C 2y'
loop_
_atom_site_label
_atom_site_type_symbol
_atom_site_fract_x
_atom_site_fract_y
_atom_site_fract_z
Pr1 Pr 0.000 0.000 0.000
Pr2 Pr 0.000 0.167 0.500
Pr3 Pr 0.000 0.333 0.000
Nd1 Nd 0.249 0.334 0.749
Nd2 Nd 0.250 0.000 0.749
Y1 Y 0.000 0.500 0.500
```

Values from the calculation:
- Size of the total moment: 0.0 μB/f.u.
- VASP energy: -4.90 eV/atom
- Fermi-level density of states: 38.2 states/eV/cell

=====

6.
Compound: Pr4Nd7Y
Source: Alexandria via LeMat-Bulk
Functional: PBE
Structure: optimized geometry

```
data_Pr4Nd7Y
_chemical_formula_sum 'Pr4 Nd7 Y1'
_cell_length_a 6.428
_cell_length_b 7.399
_cell_length_c 9.227
_cell_angle_alpha 89.87
_cell_angle_beta 76.44
_cell_angle_gamma 89.87
_symmetry_space_group_name_H-M 'P -1'
_symmetry_Int_Tables_number 2
_symmetry_space_group_name_Hall '-P 1'
loop_
_atom_site_label
_atom_site_type_symbol
_atom_site_fract_x
_atom_site_fract_y
_atom_site_fract_z
Pr1 Pr 0.219 0.252 0.330
Pr2 Pr 0.279 0.999 0.669
Nd1 Nd 0.000 0.251 0.000
Nd2 Nd 0.220 0.749 0.330
Nd3 Nd 0.281 0.499 0.668
Nd4 Nd 0.500 0.000 0.000
Y1 Y 0.500 0.500 0.000
```

Values from the calculation:
- Size of the total moment: 0.0 μB/f.u.
- VASP energy: -4.90 eV/atom
- Fermi-level density of states: 17.4 states/eV/cell

=====

Number 1: calculated formation energy 0.006 eV per atom. Number 2: calculated formation energy 0.026 eV per atom. Number 3: calculated formation energy 0.253 eV per atom. Number 4: calculated formation energy 0.640 eV per atom. Number 5: calculated formation energy 0.012 eV per atom. Number 6: calculated formation energy 0.015 eV per atom.